Material: LiZn2Pd2
Method: DFT, PBE
State: relaxed

Computed properties:
The calculation puts the energy of formation at -47 kJ/mol of atoms.

Structure (CIF):
```
data_LiZn2Pd2
_chemical_formula_sum 'Li2 Zn4 Pd4'
_space_group_name_H-M_alt 'P 4/m b m'
_space_group_IT_number 127
_space_group_name_Hall '-P 4 2ab'
_cell_length_a 7.3871
_cell_length_b 7.3871
_cell_length_c 2.8733
_cell_angle_alpha 90.00
_cell_angle_beta 90.00
_cell_angle_gamma 90.00
loop_
_atom_site_label
_atom_site_type_symbol
_atom_site_fract_x
_atom_site_fract_y
_atom_site_fract_z
Li1 Li 0.0000 0.0000 0.0000
Zn1 Zn 0.1564 0.3436 0.5000
Pd1 Pd 0.1414 0.6414 0.0000
```



Material: U2SnPt6
Method: DFT, PBE
State: relaxed

Computed properties:
The calculation puts the energy of formation at -56 kJ/mol of atoms.

Structure (CIF):
```
data_U2SnPt6
_chemical_formula_sum 'U2 Sn1 Pt6'
_space_group_name_H-M_alt 'P -3 m 1'
_space_group_IT_number 164
_space_group_name_Hall '-P 3 2"'
_cell_length_a 5.7043
_cell_length_b 5.7043
_cell_length_c 6.1480
_cell_angle_alpha 90.00
_cell_angle_beta 90.00
_cell_angle_gamma 120.00
loop_
_atom_site_label
_atom_site_type_symbol
_atom_site_fract_x
_atom_site_fract_y
_atom_site_fract_z
U1 U 0.3333 0.6667 0.3202
Sn1 Sn 0.0000 0.0000 0.5000
Pt1 Pt 0.1759 0.3518 0.8221
```



Question: energy of formation of number 2 (U2SnPt6)?
Answer: -56 kJ/mol of atoms



Question: Which value of energy of formation does entry 1 give?
Answer: -47 kJ/mol of atoms



Question: Which value of energy of formation does entry 2 give?
Answer: -56 kJ/mol of atoms



Question: energy of formation of number 2 (U2SnPt6)?
Answer: -56 kJ/mol of atoms